The following is a GGA-PBE calculation of USiClO4 after structural relaxation, from Alexandria.

- ΔE_f (raw): -2.699 eV per atom
- Calculated volume: 215 Å³ per cell

Cell lengths 5.965, 5.965, 6.707 Å; angles 76.49, 76.49, 69.74 degrees
Last column: magnetic moment on the atom in μB.
Atoms (fractional coordinates):
U (0.756, 0.756, 0.156)  1.09
U (0.244, 0.244, 0.844)  1.09
O (0.534, 0.534, 0.213)  -0.02
O (0.887, 0.512, 0.839)  -0.02
O (0.466, 0.466, 0.787)  -0.02
O (0.113, 0.488, 0.161)  -0.02
O (0.512, 0.887, 0.839)  -0.02
O (0.292, 0.292, 0.522)  -0.02
O (0.708, 0.708, 0.478)  -0.02
O (0.488, 0.113, 0.161)  -0.02
Si (0.640, 0.640, 0.731)  0.00
Si (0.360, 0.360, 0.269)  0.00
Cl (0.015, 0.015, 0.228)  -0.02
Cl (0.985, 0.985, 0.772)  -0.02